[1]
First-principles (PBE) data for an optimized crystal structure of Ho3CS2, as listed in Alexandria.

CIF file:
```
data_Ho3CS2
_chemical_formula_sum 'Ho6 C2 S4'
_cell_length_a 3.719
_cell_length_b 5.379
_cell_length_c 11.645
_cell_angle_alpha 90.00
_cell_angle_beta 90.00
_cell_angle_gamma 90.00
_space_group_name_H-M_alt 'I m m m'
_space_group_IT_number 71
_space_group_name_Hall '-I 2 2'
loop_
_atom_site_label
_atom_site_fract_x
_atom_site_fract_y
_atom_site_fract_z
Ho1 0.000 0.000 0.000
Ho2 0.000 0.000 0.358
C1 0.000 0.500 0.000
S1 0.000 0.500 0.327
```

Values from the calculation:
Total DFT energy (no corrections) = -6.75 eV per atom
N(E_F) = 1.4 states/eV/f.u.

=====

[2]
First-principles (PBE) data for an optimized crystal structure of CaTaBeIr2, as listed in Alexandria.

CIF file:
```
data_CaTaBeIr2
_chemical_formula_sum 'Ca2 Ta2 Be2 Ir4'
_cell_length_a 4.012
_cell_length_b 4.012
_cell_length_c 11.371
_cell_angle_alpha 90.00
_cell_angle_beta 90.00
_cell_angle_gamma 90.00
_space_group_name_H-M_alt 'I -4 m 2'
_space_group_IT_number 119
_space_group_name_Hall 'I -4 -2'
loop_
_atom_site_label
_atom_site_fract_x
_atom_site_fract_y
_atom_site_fract_z
Ca1 0.000 0.000 0.000
Ta1 0.000 0.500 0.750
Be1 0.000 0.500 0.250
Ir1 0.000 0.000 0.383
```

Values from the calculation:
ΔH_f (0 K) = -437 meV/atom
Total DFT energy (no corrections) = -7.50 eV per atom
N(E_F) = 2.7 states/eV/f.u.

=====

[3]
First-principles (PBE) data for an optimized crystal structure of SrIn2P2, as listed in Alexandria.

CIF file:
```
data_SrIn2P2
_chemical_formula_sum 'Sr2 In4 P4'
_cell_length_a 4.303
_cell_length_b 4.303
_cell_length_c 13.594
_cell_angle_alpha 90.00
_cell_angle_beta 90.00
_cell_angle_gamma 90.00
_space_group_name_H-M_alt 'I 4/m m m'
_space_group_IT_number 139
_space_group_name_Hall '-I 4 2'
loop_
_atom_site_label
_atom_site_fract_x
_atom_site_fract_y
_atom_site_fract_z
Sr1 0.000 0.000 0.000
In1 0.000 0.500 0.250
P1 0.000 0.000 0.420
```

Values from the calculation:
ΔH_f (0 K) = -346 meV/atom
Total DFT energy (no corrections) = -3.94 eV per atom
N(E_F) = 2.3 states/eV/f.u.

=====

Copy entry 1 word for word.
First-principles (PBE) data for an optimized crystal structure of Ho3CS2, as listed in Alexandria.

CIF file:
```
data_Ho3CS2
_chemical_formula_sum 'Ho6 C2 S4'
_cell_length_a 3.719
_cell_length_b 5.379
_cell_length_c 11.645
_cell_angle_alpha 90.00
_cell_angle_beta 90.00
_cell_angle_gamma 90.00
_space_group_name_H-M_alt 'I m m m'
_space_group_IT_number 71
_space_group_name_Hall '-I 2 2'
loop_
_atom_site_label
_atom_site_fract_x
_atom_site_fract_y
_atom_site_fract_z
Ho1 0.000 0.000 0.000
Ho2 0.000 0.000 0.358
C1 0.000 0.500 0.000
S1 0.000 0.500 0.327
```

Values from the calculation:
Total DFT energy (no corrections) = -6.75 eV per atom
N(E_F) = 1.4 states/eV/f.u.

=====

- Look up the total DFT energy (no corrections) of the first one.
  -6.75 eV per atom